Record 1
Below is KBeCo3 after structural relaxation, with properties calculated at the PBE level.

DFT total energy = -2.57 eV per atom
E above lowest polymorph = 1.6636 eV/atom
Fermi-level density of states = 11.40 states/eV/f.u.
Total magnetic moment = 0.809 μB per atom
V = 84.2 Å³ per cell

```
5
Lattice="-2.9239 3.2378 0.4293 -2.1826 -1.5083 -3.4897 -2.4298 -2.5414 2.6181" Properties=species:S:1:pos:R:3 pbc="T T T"
K 0.0000 0.0000 0.0000
Co -1.2149 -1.2707 1.3091
Co -1.4620 1.6189 0.2146
Co -1.0913 -0.7542 -1.7449
Be -3.7682 -0.4059 -0.2211
```

---

Record 2
Below is Tl12Hg3Au5 after structural relaxation, with properties calculated at the PBE level.

DFT total energy = -2.18 eV per atom
Fermi-level density of states = 11.79 states/eV/f.u.
Total magnetic moment = 0.000 μB per atom
V = 2643.4 Å³ per cell

```
80
Lattice="15.0867 0.0000 0.0000 -5.0289 14.2239 0.0000 -5.0289 -7.1119 12.3182" Properties=species:S:1:pos:R:3 pbc="T T T"
Tl 1.9585 -1.9667 11.4274
Tl 0.0074 4.7469 5.2683
Tl -0.5560 5.1453 0.8908
Tl 6.0305 -1.1246 7.4169
Tl 3.0704 9.0786 0.8908
Tl -0.4531 0.9022 2.7345
Tl 9.6047 0.7367 5.5731
Tl 11.0594 3.4295 3.4246
Tl -1.0016 8.2365 4.9013
Tl 2.0614 5.4731 8.3077
Tl -1.9585 -0.2119 10.1696
Tl 6.5417 10.7943 3.4246
Tl 10.0504 1.3669 0.5860
Tl 5.4820 6.2098 9.5837
Tl -2.5219 3.3800 7.6359
Tl 7.0903 7.8486 6.7451
Tl 6.5418 2.3050 1.4768
Tl -4.0273 11.9189 1.4768
Tl 6.9874 7.3238 2.1486
Tl 2.5219 -2.3650 7.0499
Tl -0.5560 8.8667 1.2578
Tl 9.0562 -4.8070 10.8415
Tl 10.0652 -3.3800 7.6359
Tl 0.4530 8.7508 8.3077
Tl 7.9964 -0.9022 2.7345
Tl 2.9675 1.6389 4.0105
Tl -5.5849 0.2119 10.1696
Tl -2.9675 8.0141 9.5837
Tl 5.5849 -1.7548 11.0604
Tl 3.5160 5.9874 4.9013
Tl 2.5070 9.4770 5.2683
Tl 1.9585 1.7548 11.0604
Tl -1.5128 -3.6824 8.8937
Tl 7.5508 12.8570 0.5860
Tl 10.6137 6.9000 2.1486
Tl -2.5219 -5.7450 11.7322
Tl -5.0215 5.7450 11.7322
Tl -2.0614 -0.7367 5.5731
Tl -5.0363 10.4919 4.6824
Tl 7.5508 3.7319 4.6824
Tl 5.0215 2.3650 7.0499
Tl 5.5849 1.9667 11.4274
Tl -6.0305 3.6824 8.8937
Tl 3.0704 5.3572 1.2578
Tl 4.5758 -1.6389 4.0105
Tl -4.5758 6.3752 6.7451
Tl 1.5129 1.1246 7.4169
Tl -1.5129 4.8070 10.8415
Au 7.5433 0.0000 0.0000
Au 3.7717 10.6679 3.0796
Au 2.5144 3.5560 6.1591
Au -1.2572 11.5569 1.5398
Au -1.2572 0.8890 7.6989
Au 6.2861 3.5560 9.2387
Au 5.0289 -3.5560 6.1591
Au 3.7717 2.6670 1.5398
Au 6.2861 6.2229 4.6193
Au -5.0289 3.5560 6.1591
Au -3.7717 8.0009 4.6193
Au 1.2572 4.4450 10.7784
Au -2.5144 -3.5560 6.1591
Au 6.2861 -4.4450 10.7784
Au 1.2572 -3.5560 9.2387
Au 0.0000 0.0000 0.0000
Au 8.8006 -0.8890 7.6989
Au -1.2572 3.5560 3.0796
Au 5.0289 7.1119 0.0000
Au -2.5144 7.1119 0.0000
Hg -6.2861 7.1119 9.2387
Hg 3.7717 0.0000 9.2387
Hg 8.8006 9.7789 1.5398
Hg 11.3150 0.0000 3.0796
Hg 6.2861 0.8890 4.6193
Hg -1.2572 6.2229 7.6989
Hg 1.2572 -0.8890 4.6193
Hg 1.2572 7.1119 3.0796
Hg -3.7717 2.6670 10.7784
Hg -3.7717 -2.6670 10.7784
Hg 3.7717 8.0009 7.6989
Hg 8.8006 4.4450 1.5398
```

---

Record 3
Below is GdHfZnIn after structural relaxation, with properties calculated at the PBE level.

DFT total energy = -7.19 eV per atom
Fermi-level density of states = 1.91 states/eV/f.u.
Total magnetic moment = 1.779 μB per atom
V = 90.1 Å³ per cell

```
4
Lattice="5.0314 0.0000 0.0000 2.5157 4.3573 0.0000 2.5157 1.4524 4.1081" Properties=species:S:1:pos:R:3 pbc="T T T"
Gd 7.5470 4.3573 3.0811
In 5.0314 2.9049 2.0540
Zn 0.0000 0.0000 0.0000
Hf 2.5157 1.4524 1.0270
```

---

Record 4
Below is Ba2Ge3Pt9 after structural relaxation, with properties calculated at the PBE level.

DFT total energy = -5.61 eV per atom
Fermi-level density of states = 7.08 states/eV/f.u.
Total magnetic moment = 0.000 μB per atom
V = 547.8 Å³ per cell

```
28
Lattice="8.1206 -0.4702 -2.7395 -5.2535 6.7848 -0.1917 0.5092 0.0248 10.2209" Properties=species:S:1:pos:R:3 pbc="T T T"
Pt -3.4630 5.8653 2.0538
Pt 2.3689 4.5854 5.9407
Pt -1.9353 4.6638 -0.0485
Pt 0.0022 5.5578 3.4066
Pt -0.1996 3.4372 5.3165
Pt -0.9438 6.0860 5.9332
Pt 5.3116 1.6755 7.3383
Pt 1.0073 1.7539 1.3490
Pt 4.3200 0.2533 1.3566
Pt -3.4771 6.5242 9.5531
Pt 0.3314 4.3859 7.8795
Pt 2.8145 5.3989 3.2476
Pt 3.0448 1.9535 -0.5898
Pt 3.3741 0.7815 3.8832
Pt 6.8534 -0.1848 -2.2633
Pt 0.5618 0.9404 4.0421
Pt 6.8393 0.4741 5.2360
Pt 3.5758 2.9021 1.9732
Ge 3.5581 3.8050 -2.3106
Ge -3.2162 5.5773 4.5505
Ge 1.6881 3.1697 3.6449
Ge 6.5925 0.7621 2.7392
Ge -0.1818 2.5343 9.6004
Ge 4.0603 -0.2351 -1.3697
Ba 1.8959 1.4908 6.9554
Ba 1.4803 4.8485 0.3343
Ba -1.8588 2.9473 2.6420
Ba 5.2350 3.3920 4.6478
```

---

Record 5
Below is GdYSn after structural relaxation, with properties calculated at the PBE level.

DFT total energy = -8.62 eV per atom
E above lowest polymorph = 0.0497 eV/atom
Fermi-level density of states = 4.14 states/eV/f.u.
Total magnetic moment = 2.670 μB per atom
V = 97.5 Å³ per cell

```
3
Lattice="-3.9508 0.0694 -3.3276 -4.7572 -1.2053 1.6132 -3.6142 3.6736 0.3578" Properties=species:S:1:pos:R:3 pbc="T T T"
Sn -3.0805 0.6344 -0.3391
Y -6.1611 1.2688 -0.6783
Gd 0.0000 0.0000 0.0000
```

---

Record 6
Below is Tb2CeCo after structural relaxation, with properties calculated at the PBE level.

DFT total energy = -5.58 eV per atom
E above lowest polymorph = 0.1636 eV/atom
Fermi-level density of states = 6.00 states/eV/f.u.
Total magnetic moment = 0.487 μB per atom
V = 101.5 Å³ per cell

```
4
Lattice="-2.8865 -1.0194 1.4424 -0.2055 -2.5509 -2.2142 4.5950 -5.1764 5.5371" Properties=species:S:1:pos:R:3 pbc="T T T"
Tb 3.7515 -4.2262 4.5207
Tb 0.8435 -0.9502 1.0164
Co -1.5460 -1.7851 -0.3859
Ce 0.7515 -4.3734 2.3827
```

---

Record 7
Below is Pr2TeH2 after structural relaxation, with properties calculated at the PBE level.

DFT total energy = -4.74 eV per atom
Fermi-level density of states = 0.41 states/eV/f.u.
Total magnetic moment = 0.000 μB per atom
V = 212.8 Å³ per cell

```
10
Lattice="-6.1047 -0.2409 2.8283 3.9460 -0.5150 5.4303 1.0957 5.1391 -3.6909" Properties=species:S:1:pos:R:3 pbc="T T T"
Te 0.9913 1.0615 1.4674
Te -2.0542 3.3217 3.1004
Pr -2.0521 0.7372 5.0882
Pr 0.9892 3.6461 -0.5204
Pr 1.0066 3.2382 3.8928
Pr -2.0696 1.1450 0.6750
H 2.9674 1.8918 4.2822
H 1.0027 4.5300 1.7863
H -4.0303 2.4914 0.2855
H -2.0656 -0.1467 2.7814
```

---

Record 8
Below is ScCrGaPd2 after structural relaxation, with properties calculated at the PBE level.

DFT total energy = -5.09 eV per atom
Fermi-level density of states = 3.69 states/eV/f.u.
Total magnetic moment = 0.734 μB per atom
V = 110.0 Å³ per cell

```
5
Lattice="-2.6551 -0.8281 -3.8567 -0.1247 -4.7375 1.1031 -3.9428 0.7008 2.5638" Properties=species:S:1:pos:R:3 pbc="T T T"
Pd -1.3275 -0.4141 -1.9284
Pd -1.9714 0.3504 1.2819
Cr -0.0624 -2.3688 0.5515
Ga -3.3613 -2.4324 -0.0949
Sc 0.0000 0.0000 0.0000
```

---

Record 9
Below is ZnRe2Hg after structural relaxation, with properties calculated at the PBE level.

DFT total energy = -5.81 eV per atom
E above lowest polymorph = 0.5531 eV/atom
Fermi-level density of states = 2.99 states/eV/f.u.
Total magnetic moment = 0.000 μB per atom
V = 143.0 Å³ per cell

```
8
Lattice="-2.0174 -2.3848 -2.1805 -1.0412 -1.9537 3.1001 -9.4452 3.6214 1.4504" Properties=species:S:1:pos:R:3 pbc="T T T"
Hg -6.4959 -0.4663 -0.1352
Hg 0.0000 0.0000 0.0000
Zn -1.5293 -2.1692 0.4598
Zn -6.0078 -0.2508 2.5051
Re -8.2835 0.9903 1.5894
Re -3.6502 -0.7087 -0.5024
Re -9.7075 -0.9813 1.7356
Re -3.3663 -0.7344 1.9173
```

---

Record 10
Below is Cu2SN after structural relaxation, with properties calculated at the PBE level.

DFT total energy = -4.74 eV per atom
E above lowest polymorph = 0.0000 eV/atom
Fermi-level density of states = 4.24 states/eV/f.u.
Total magnetic moment = 0.000 μB per atom
ΔE_f (raw) = 417 meV/atom
V = 110.6 Å³ per cell

```
8
Lattice="4.7092 0.0000 0.0000 0.0000 4.7092 0.0000 2.3546 2.3546 4.9885" Properties=species:S:1:pos:R:3 pbc="T T T"
S 4.7092 2.3546 2.4942
S 0.0000 0.0000 0.0000
Cu 3.1837 1.1773 1.2471
Cu 5.8865 5.5383 3.7414
Cu 1.5255 3.5319 1.2471
Cu 3.5319 3.8801 3.7414
N 2.3546 4.7092 2.4942
N 2.3546 2.3546 0.0000
```

---

Record 11
Below is Cu2POs after structural relaxation, with properties calculated at the PBE level.

DFT total energy = -6.03 eV per atom
Fermi-level density of states = 2.80 states/eV/f.u.
Total magnetic moment = 0.084 μB per atom
V = 50.4 Å³ per cell

```
4
Lattice="5.0407 0.0047 -0.0060 2.6439 4.2916 0.0060 -3.4622 -2.8280 2.3290" Properties=species:S:1:pos:R:3 pbc="T T T"
P 1.5120 1.8059 1.1675
Os 2.7104 -0.3376 1.1615
Cu 3.6436 2.0371 0.0000
Cu 0.1987 0.1111 0.0000
```

---

Record 12
Below is Hf3UP4 after structural relaxation, with properties calculated at the PBE level.

DFT total energy = -9.06 eV per atom
Fermi-level density of states = 6.59 states/eV/f.u.
Total magnetic moment = 0.240 μB per atom
V = 298.6 Å³ per cell

```
16
Lattice="-5.3661 -1.0914 -3.5040 2.8093 -5.6608 1.5008 -4.0520 -0.3378 6.3104" Properties=species:S:1:pos:R:3 pbc="T T T"
P -6.8061 -5.5772 3.1075
P -3.0892 -4.9835 3.2922
P -4.7945 -5.4476 0.0175
P 0.1973 -1.5127 1.1997
P -5.4905 -2.3089 4.1273
P -1.8142 -1.6423 4.2897
P -1.1183 -4.7811 0.1800
P -3.5195 -2.1065 1.0151
U -1.8486 -0.3151 -0.0863
U -7.5694 -1.1141 2.8927
Hf -3.8736 -0.4839 3.0674
Hf -3.4630 -3.3972 5.3659
Hf -5.5444 -0.9452 -0.2610
Hf -3.1457 -3.6928 -1.0587
Hf -1.4674 -3.2308 2.2580
Hf -5.1413 -3.8591 2.0492
```

---

Record 13
Below is Nb5MoRu4 after structural relaxation, with properties calculated at the PBE level.

DFT total energy = -10.03 eV per atom
Fermi-level density of states = 11.01 states/eV/f.u.
Total magnetic moment = 0.000 μB per atom
V = 162.7 Å³ per cell

```
10
Lattice="-1.8760 -2.5588 -0.5813 2.2580 -1.9383 1.2449 -6.4820 1.5376 14.1510" Properties=species:S:1:pos:R:3 pbc="T T T"
Ru -3.8774 0.9197 8.4649
Ru -1.3307 0.3157 2.9051
Ru -2.6045 0.6178 5.6861
Ru -5.1512 1.2219 11.2459
Nb -1.7696 -1.7835 4.6119
Nb -5.6446 -0.8643 13.0715
Nb -0.4555 -2.0952 1.7430
Nb -3.0500 -1.4798 7.4073
Nb -4.3305 -1.1760 10.2027
Mo 0.0000 0.0000 0.0000
```

---

Record 14
Below is YSbSeN2 after structural relaxation, with properties calculated at the PBE level.

DFT total energy = -5.88 eV per atom
E above lowest polymorph = 0.0000 eV/atom
Fermi-level density of states = 1.01 states/eV/f.u.
Total magnetic moment = 0.000 μB per atom
ΔE_f (raw) = 269 meV/atom
V = 90.0 Å³ per cell

```
5
Lattice="-1.0511 3.9507 0.5733 -3.6028 -1.1942 1.6233 2.1985 -0.1113 4.7978" Properties=species:S:1:pos:R:3 pbc="T T T"
N -0.5256 1.9753 0.2867
N -1.8014 -0.5971 0.8116
Sb 0.0000 0.0000 0.0000
Se 1.0993 -0.0557 2.3989
Y -1.2277 1.3226 3.4972
```

---

Record 15
Below is Y4Co2H after structural relaxation, with properties calculated at the PBE level.

DFT total energy = -6.45 eV per atom
Fermi-level density of states = 7.00 states/eV/f.u.
Total magnetic moment = 0.000 μB per atom
V = 146.3 Å³ per cell

```
7
Lattice="-2.4916 0.4845 2.7832 -3.0853 -4.3617 -2.0028 5.4754 -3.5636 2.9730" Properties=species:S:1:pos:R:3 pbc="T T T"
Co 0.8081 -3.2222 1.2843
Co -0.9096 -4.2186 2.4691
Y 1.1191 -2.7998 4.0383
Y 1.3275 -5.9299 2.2206
Y -1.4290 -1.5109 1.5328
Y -1.2206 -4.6410 -0.2848
H 0.0000 0.0000 0.0000
```

---

Record 16
Below is Zr3ScTc after structural relaxation, with properties calculated at the PBE level.

DFT total energy = -8.12 eV per atom
E above lowest polymorph = 0.4181 eV/atom
Fermi-level density of states = 10.87 states/eV/f.u.
Total magnetic moment = 0.000 μB per atom
V = 128.6 Å³ per cell

```
5
Lattice="-2.5188 3.9593 1.8580 -1.9412 -2.9334 3.6193 3.9191 1.0916 2.9868" Properties=species:S:1:pos:R:3 pbc="T T T"
Tc 0.0000 0.0000 0.0000
Zr -0.9706 -1.4667 1.8097
Zr -1.2594 1.9797 0.9290
Zr 1.9596 0.5458 1.4934
Sc -0.2704 1.0588 4.2320
```

---

Record 17
Below is Ce2Ge3PdRh4 after structural relaxation, with properties calculated at the PBE level.

DFT total energy = -6.83 eV per atom
Fermi-level density of states = 9.52 states/eV/f.u.
Total magnetic moment = 0.072 μB per atom
V = 183.5 Å³ per cell

```
10
Lattice="4.0123 0.0000 0.0000 0.0000 4.0123 0.0000 0.0000 0.0000 11.3976" Properties=species:S:1:pos:R:3 pbc="T T T"
Ge 0.0000 2.0061 1.3934
Ge 0.0000 0.0000 5.6988
Ge 2.0061 0.0000 10.0042
Ce 2.0061 0.0000 3.0392
Ce 0.0000 2.0061 8.3585
Rh 2.0061 2.0061 0.0000
Rh 0.0000 0.0000 0.0000
Rh 2.0061 0.0000 7.5822
Rh 0.0000 2.0061 3.8155
Pd 2.0061 2.0061 5.6988
```

---

Record 18
Below is LiRe2Ru after structural relaxation, with properties calculated at the PBE level.

DFT total energy = -8.70 eV per atom
E above lowest polymorph = 0.1992 eV/atom
Fermi-level density of states = 4.36 states/eV/f.u.
Total magnetic moment = 0.000 μB per atom
V = 56.5 Å³ per cell

```
4
Lattice="4.8761 -0.0032 0.0000 -2.1918 4.3557 0.0000 0.0000 0.0000 2.6624" Properties=species:S:1:pos:R:3 pbc="T T T"
Re 0.0000 0.0000 0.0000
Re 1.3422 2.1762 0.0000
Li -1.0959 2.1779 1.3312
Ru 2.4380 -0.0016 1.3312
```

---

Record 19
Below is Ba2TiSiO6 after structural relaxation, with properties calculated at the PBE level.

DFT total energy = -7.52 eV per atom
Fermi-level density of states = 0.00 states/eV/f.u.
Total magnetic moment = 0.000 μB per atom
ΔE_f (raw) = -2826 meV/atom
V = 144.1 Å³ per cell

```
10
Lattice="-3.5711 0.1362 3.3549 3.5667 -2.4586 3.8964 -0.2323 5.8018 -0.4828" Properties=species:S:1:pos:R:3 pbc="T T T"
O -0.4212 3.3208 4.9512
O -2.4437 4.7150 2.7418
O 2.0753 2.0544 3.7529
O 2.2070 -1.2355 4.0267
O -2.3120 1.4250 3.0156
O 0.1845 0.1586 1.8173
Ba 0.2705 3.0775 1.6942
Ba -0.5072 0.4020 5.0742
Si 0.0000 0.0000 0.0000
Ti -1.7856 0.0681 1.6775
```

---

Record 20
Below is Ac4RuAu2 after structural relaxation, with properties calculated at the PBE level.

DFT total energy = -4.99 eV per atom
E above lowest polymorph = 0.1122 eV/atom
Fermi-level density of states = 8.63 states/eV/f.u.
Total magnetic moment = 0.000 μB per atom
V = 245.2 Å³ per cell

```
7
Lattice="-5.4789 -0.1007 0.9066 0.1543 -5.5431 0.3171 3.9485 3.3055 7.2155" Properties=species:S:1:pos:R:3 pbc="T T T"
Ac 0.4834 0.1818 2.9418
Ac -2.7394 -0.0503 0.4533
Ac 0.0772 -2.7715 0.1586
Ac -1.8594 -2.5200 5.4974
Au -2.3571 -2.7071 2.4687
Au 0.9811 0.3689 5.9705
Ru 0.0000 0.0000 0.0000
```